1.
# Tb15Pr2Dy2 | Alexandria via LeMat-Bulk | PBE | optimized geometry
# D(E_F) (states/eV/atom): 1.742
data_Tb15Pr2Dy2
_chemical_formula_sum 'Tb45 Pr6 Dy6'
_cell_length_a 11.4966
_cell_length_b 11.4966
_cell_length_c 16.9596
_cell_angle_alpha 90.00
_cell_angle_beta 90.00
_cell_angle_gamma 120.00
_symmetry_space_group_name_H-M 'R -3 m'
_symmetry_Int_Tables_number 166
_symmetry_space_group_name_Hall '-R 3 2"'
loop_
_atom_site_label
_atom_site_fract_x
_atom_site_fract_y
_atom_site_fract_z
Tb1 0.0000 0.3451 0.0000
Tb2 0.0000 0.5000 0.5000
Tb3 0.0232 0.5116 0.1777
Pr1 0.0000 0.0000 0.1143
Dy1 0.0000 0.0000 0.3517

=====

2.
# Tb9Pr2Dy | Alexandria via LeMat-Bulk | PBE | optimized geometry
# D(E_F) (states/eV/atom): 1.505
# Excess energy over the best structure of this formula in the dataset (meV per atom): 0
data_Tb9Pr2Dy
_chemical_formula_sum 'Tb9 Pr2 Dy1'
_cell_length_a 5.0688
_cell_length_b 5.0688
_cell_length_c 15.2054
_cell_angle_alpha 90.00
_cell_angle_beta 90.00
_cell_angle_gamma 90.00
_symmetry_space_group_name_H-M 'P 4/m m m'
_symmetry_Int_Tables_number 123
_symmetry_space_group_name_Hall '-P 4 2'
loop_
_atom_site_label
_atom_site_fract_x
_atom_site_fract_y
_atom_site_fract_z
Tb1 0.0000 0.0000 0.0000
Tb2 0.0000 0.0000 0.3319
Tb3 0.0000 0.5000 0.1641
Tb4 0.0000 0.5000 0.5000
Pr1 0.5000 0.5000 0.3324
Dy1 0.5000 0.5000 0.0000

=====

3.
# TbPrDy4 | Alexandria via LeMat-Bulk | PBE | optimized geometry
# D(E_F) (states/eV/atom): 1.326
# Excess energy over the best structure of this formula in the dataset (meV per atom): 67
data_TbPrDy4
_chemical_formula_sum 'Tb4 Pr4 Dy16'
_cell_length_a 8.7982
_cell_length_b 17.2652
_cell_length_c 6.3801
_cell_angle_alpha 90.00
_cell_angle_beta 126.34
_cell_angle_gamma 90.00
_symmetry_space_group_name_H-M 'C 1 2/c 1'
_symmetry_Int_Tables_number 15
_symmetry_space_group_name_Hall '-C 2yc'
loop_
_atom_site_label
_atom_site_fract_x
_atom_site_fract_y
_atom_site_fract_z
Tb1 0.0000 0.0762 0.2500
Pr1 0.0000 0.4436 0.2500
Dy1 0.0811 0.2590 0.5585
Dy2 0.2378 0.1082 0.9769

=====

4.
# TbPr2Dy6 | Alexandria via LeMat-Bulk | PBE | optimized geometry
# D(E_F) (states/eV/atom): 1.332
# Excess energy over the best structure of this formula in the dataset (meV per atom): 0
data_TbPr2Dy6
_chemical_formula_sum 'Tb4 Pr8 Dy24'
_cell_length_a 12.8792
_cell_length_b 14.3260
_cell_length_c 6.6140
_cell_angle_alpha 90.00
_cell_angle_beta 103.88
_cell_angle_gamma 90.00
_symmetry_space_group_name_H-M 'C 1 2/c 1'
_symmetry_Int_Tables_number 15
_symmetry_space_group_name_Hall '-C 2yc'
loop_
_atom_site_label
_atom_site_fract_x
_atom_site_fract_y
_atom_site_fract_z
Tb1 0.0000 0.1176 0.2500
Pr1 0.1441 0.4738 0.3744
Dy1 0.0350 0.3113 0.0034
Dy2 0.1313 0.0902 0.8163
Dy3 0.2403 0.2978 0.7305

=====

5.
# Tb4Pr5Dy2 | Alexandria via LeMat-Bulk | PBE | optimized geometry
# D(E_F) (states/eV/atom): 1.421
# Excess energy over the best structure of this formula in the dataset (meV per atom): 0
data_Tb4Pr5Dy2
_chemical_formula_sum 'Tb8 Pr10 Dy4'
_cell_length_a 17.8693
_cell_length_b 3.5742
_cell_length_c 11.7269
_cell_angle_alpha 90.00
_cell_angle_beta 93.98
_cell_angle_gamma 90.00
_symmetry_space_group_name_H-M 'C 1 2/m 1'
_symmetry_Int_Tables_number 12
_symmetry_space_group_name_Hall '-C 2y'
loop_
_atom_site_label
_atom_site_fract_x
_atom_site_fract_y
_atom_site_fract_z
Tb1 0.0360 0.0000 0.2613
Tb2 0.1406 0.5000 0.7956
Pr1 0.0000 0.5000 0.0000
Pr2 0.0968 0.0000 0.5363
Pr3 0.1771 0.0000 0.0721
Dy1 0.2160 0.5000 0.3544

=====

6.
# Tb7Pr3Dy2 | Alexandria via LeMat-Bulk | PBE | optimized geometry
# D(E_F) (states/eV/atom): 1.468
data_Tb7Pr3Dy2
_chemical_formula_sum 'Tb7 Pr3 Dy2'
_cell_length_a 6.3869
_cell_length_b 3.5562
_cell_length_c 17.6617
_cell_angle_alpha 90.00
_cell_angle_beta 96.28
_cell_angle_gamma 90.00
_symmetry_space_group_name_H-M 'P 1 2/m 1'
_symmetry_Int_Tables_number 10
_symmetry_space_group_name_Hall '-P 2y'
loop_
_atom_site_label
_atom_site_fract_x
_atom_site_fract_y
_atom_site_fract_z
Tb1 0.0000 0.0000 0.0000
Tb2 0.2231 0.5000 0.1665
Tb3 0.2534 0.5000 0.4993
Tb4 0.2699 0.0000 0.8335
Pr1 0.4525 0.0000 0.3401
Pr2 0.5000 0.5000 0.0000
Dy1 0.0555 0.5000 0.6727

=====

7.
# TbPr2Dy2 | Alexandria via LeMat-Bulk | PBE | optimized geometry
# D(E_F) (states/eV/atom): 1.711
# Excess energy over the best structure of this formula in the dataset (meV per atom): 0
data_TbPr2Dy2
_chemical_formula_sum 'Tb4 Pr8 Dy8'
_cell_length_a 15.9719
_cell_length_b 6.3662
_cell_length_c 6.8607
_cell_angle_alpha 90.00
_cell_angle_beta 104.26
_cell_angle_gamma 90.00
_symmetry_space_group_name_H-M 'C 1 2/c 1'
_symmetry_Int_Tables_number 15
_symmetry_space_group_name_Hall '-C 2yc'
loop_
_atom_site_label
_atom_site_fract_x
_atom_site_fract_y
_atom_site_fract_z
Tb1 0.0000 0.0840 0.2500
Pr1 0.1993 0.0857 0.6515
Dy1 0.0971 0.4173 0.9512

=====

8.
# Tb2Pr3Dy4 | Alexandria via LeMat-Bulk | PBE | optimized geometry
# D(E_F) (states/eV/atom): 1.491
# Excess energy over the best structure of this formula in the dataset (meV per atom): 105
data_Tb2Pr3Dy4
_chemical_formula_sum 'Tb4 Pr6 Dy8'
_cell_length_a 10.9675
_cell_length_b 5.1337
_cell_length_c 11.2042
_cell_angle_alpha 90.00
_cell_angle_beta 101.94
_cell_angle_gamma 90.00
_symmetry_space_group_name_H-M 'C 1 2/m 1'
_symmetry_Int_Tables_number 12
_symmetry_space_group_name_Hall '-C 2y'
loop_
_atom_site_label
_atom_site_fract_x
_atom_site_fract_y
_atom_site_fract_z
Tb1 0.1669 0.0000 0.0749
Pr1 0.0000 0.0000 0.5000
Pr2 0.0542 0.5000 0.2450
Dy1 0.1454 0.0000 0.7802
Dy2 0.2224 0.5000 0.6040

=====

What are the total moment values for these records? In order: 0.0 0.0 0.0 0.0 0.0 0.0 0.0 0.0 μB/cell.
What are the ΔH_f (0 K) values for these records? In order: 0.28 0.02 0.09 0.11 0.07 0.08 0.02 0.20 eV/atom.
What are the E values for these records? In order: -248.501 -55.589 -109.190 -163.137 -101.602 -54.957 -93.086 -80.365 eV per cell.